Computed, not measured: a geometry-optimized Ca3Pr5Dy12 structure at the PBE level of DFT.

Unit cell a=16.3866 b=16.3866 c=16.3866 alpha=109.47 beta=109.47 gamma=109.47
Closest atoms and distances in Å follow each position.
Atoms (fractional coordinates):
Ca 0.1250 0.2500 0.3750  8 Dy 3.30-3.47
Ca 0.1250 0.3750 0.7500  8 Dy 3.30-3.47
Ca 0.2500 0.3750 0.1250  8 Dy 3.30-3.47
Ca 0.2500 0.8750 0.6250  8 Dy 3.30-3.47
Ca 0.3750 0.1250 0.2500  8 Dy 3.30-3.47
Ca 0.3750 0.7500 0.1250  8 Dy 3.30-3.47
Ca 0.6250 0.2500 0.8750  8 Dy 3.30-3.47
Ca 0.6250 0.8750 0.7500  8 Dy 3.30-3.47
Ca 0.7500 0.1250 0.3750  8 Dy 3.30-3.47
Ca 0.7500 0.6250 0.8750  8 Dy 3.30-3.47
Ca 0.8750 0.6250 0.2500  8 Dy 3.30-3.47
Ca 0.8750 0.7500 0.6250  8 Dy 3.30-3.47
Pr 0.0000 0.0000 0.0000  6 Dy 3.14
Pr 0.0000 0.0000 0.5000  6 Dy 3.14
Pr 0.0000 0.5000 0.0000  6 Dy 3.14
Pr 0.0000 0.5000 0.5000  6 Dy 3.14
Pr 0.1250 0.7500 0.8750  4 Dy 3.32
Pr 0.1250 0.8750 0.2500  4 Dy 3.32
Pr 0.2500 0.1250 0.8750  4 Dy 3.32
Pr 0.2500 0.6250 0.3750  4 Dy 3.32
Pr 0.3750 0.2500 0.6250  4 Dy 3.32
Pr 0.3750 0.6250 0.7500  4 Dy 3.32
Pr 0.5000 0.0000 0.0000  6 Dy 3.14
Pr 0.5000 0.0000 0.5000  6 Dy 3.14
Pr 0.5000 0.5000 0.0000  6 Dy 3.14
Pr 0.5000 0.5000 0.5000  6 Dy 3.14
Pr 0.6250 0.3750 0.2500  4 Dy 3.32
Pr 0.6250 0.7500 0.3750  4 Dy 3.32
Pr 0.7500 0.3750 0.6250  4 Dy 3.32
Pr 0.7500 0.8750 0.1250  4 Dy 3.32
Pr 0.8750 0.1250 0.7500  4 Dy 3.32
Pr 0.8750 0.2500 0.1250  4 Dy 3.32
Dy 0.0699 0.6416 0.4176  2 Pr 3.14-3.32, 2 Ca 3.30-3.47, 1 Dy 3.42
Dy 0.0699 0.9283 0.6524  2 Pr 3.14-3.32, 2 Ca 3.30-3.47, 1 Dy 3.42
Dy 0.0717 0.2240 0.1416  2 Pr 3.14-3.32, 2 Ca 3.30-3.47, 1 Dy 3.42
Dy 0.0717 0.3476 0.9301  2 Pr 3.14-3.32, 2 Ca 3.30-3.47, 1 Dy 3.42
Dy 0.0824 0.7240 0.6524  2 Pr 3.14-3.32, 2 Ca 3.30-3.47, 1 Dy 3.42
Dy 0.0824 0.8584 0.4301  2 Pr 3.14-3.32, 2 Ca 3.30-3.47, 1 Dy 3.42
Dy 0.1416 0.0717 0.2240  2 Pr 3.14-3.32, 2 Ca 3.30-3.47, 1 Dy 3.42
Dy 0.1416 0.5699 0.9176  2 Pr 3.14-3.32, 2 Ca 3.30-3.47, 1 Dy 3.42
Dy 0.1524 0.2240 0.5824  2 Pr 3.14-3.32, 2 Ca 3.30-3.47, 1 Dy 3.42
Dy 0.1524 0.4283 0.5699  2 Pr 3.14-3.32, 2 Ca 3.30-3.47, 1 Dy 3.42
Dy 0.2240 0.1416 0.0717  2 Pr 3.14-3.32, 2 Ca 3.30-3.47, 1 Dy 3.42
Dy 0.2240 0.5824 0.1524  2 Pr 3.14-3.32, 2 Ca 3.30-3.47, 1 Dy 3.42
Dy 0.2760 0.3476 0.9176  2 Pr 3.14-3.32, 2 Ca 3.30-3.47, 1 Dy 3.42
Dy 0.2760 0.4283 0.3584  2 Pr 3.14-3.32, 2 Ca 3.30-3.47, 1 Dy 3.42
Dy 0.3476 0.9176 0.2760  2 Pr 3.14-3.32, 2 Ca 3.30-3.47, 1 Dy 3.42
Dy 0.3476 0.9301 0.0717  2 Pr 3.14-3.32, 2 Ca 3.30-3.47, 1 Dy 3.42
Dy 0.3584 0.2760 0.4283  2 Pr 3.14-3.32, 2 Ca 3.30-3.47, 1 Dy 3.42
Dy 0.3584 0.5824 0.9301  2 Pr 3.14-3.32, 2 Ca 3.30-3.47, 1 Dy 3.42
Dy 0.4176 0.0699 0.6416  2 Pr 3.14-3.32, 2 Ca 3.30-3.47, 1 Dy 3.42
Dy 0.4176 0.8476 0.7760  2 Pr 3.14-3.32, 2 Ca 3.30-3.47, 1 Dy 3.42
Dy 0.4283 0.3584 0.2760  2 Pr 3.14-3.32, 2 Ca 3.30-3.47, 1 Dy 3.42
Dy 0.4283 0.5699 0.1524  2 Pr 3.14-3.32, 2 Ca 3.30-3.47, 1 Dy 3.42
Dy 0.4301 0.0824 0.8584  2 Pr 3.14-3.32, 2 Ca 3.30-3.47, 1 Dy 3.42
Dy 0.4301 0.8476 0.5717  2 Pr 3.14-3.32, 2 Ca 3.30-3.47, 1 Dy 3.42
Dy 0.5699 0.1524 0.4283  2 Pr 3.14-3.32, 2 Ca 3.30-3.47, 1 Dy 3.42
Dy 0.5699 0.9176 0.1416  2 Pr 3.14-3.32, 2 Ca 3.30-3.47, 1 Dy 3.42
Dy 0.5717 0.4301 0.8476  2 Pr 3.14-3.32, 2 Ca 3.30-3.47, 1 Dy 3.42
Dy 0.5717 0.6416 0.7240  2 Pr 3.14-3.32, 2 Ca 3.30-3.47, 1 Dy 3.42
Dy 0.5824 0.1524 0.2240  2 Pr 3.14-3.32, 2 Ca 3.30-3.47, 1 Dy 3.42
Dy 0.5824 0.9301 0.3584  2 Pr 3.14-3.32, 2 Ca 3.30-3.47, 1 Dy 3.42
Dy 0.6416 0.4176 0.0699  2 Pr 3.14-3.32, 2 Ca 3.30-3.47, 1 Dy 3.42
Dy 0.6416 0.7240 0.5717  2 Pr 3.14-3.32, 2 Ca 3.30-3.47, 1 Dy 3.42
Dy 0.6524 0.0699 0.9283  2 Pr 3.14-3.32, 2 Ca 3.30-3.47, 1 Dy 3.42
Dy 0.6524 0.0824 0.7240  2 Pr 3.14-3.32, 2 Ca 3.30-3.47, 1 Dy 3.42
Dy 0.7240 0.5717 0.6416  2 Pr 3.14-3.32, 2 Ca 3.30-3.47, 1 Dy 3.42
Dy 0.7240 0.6524 0.0824  2 Pr 3.14-3.32, 2 Ca 3.30-3.47, 1 Dy 3.42
Dy 0.7760 0.4176 0.8476  2 Pr 3.14-3.32, 2 Ca 3.30-3.47, 1 Dy 3.42
Dy 0.7760 0.8584 0.9283  2 Pr 3.14-3.32, 2 Ca 3.30-3.47, 1 Dy 3.42
Dy 0.8476 0.5717 0.4301  2 Pr 3.14-3.32, 2 Ca 3.30-3.47, 1 Dy 3.42
Dy 0.8476 0.7760 0.4176  2 Pr 3.14-3.32, 2 Ca 3.30-3.47, 1 Dy 3.42
Dy 0.8584 0.4301 0.0824  2 Pr 3.14-3.32, 2 Ca 3.30-3.47, 1 Dy 3.42
Dy 0.8584 0.9283 0.7760  2 Pr 3.14-3.32, 2 Ca 3.30-3.47, 1 Dy 3.42
Dy 0.9176 0.1416 0.5699  2 Pr 3.14-3.32, 2 Ca 3.30-3.47, 1 Dy 3.42
Dy 0.9176 0.2760 0.3476  2 Pr 3.14-3.32, 2 Ca 3.30-3.47, 1 Dy 3.42
Dy 0.9283 0.6524 0.0699  2 Pr 3.14-3.32, 2 Ca 3.30-3.47, 1 Dy 3.42
Dy 0.9283 0.7760 0.8584  2 Pr 3.14-3.32, 2 Ca 3.30-3.47, 1 Dy 3.42
Dy 0.9301 0.0717 0.3476  2 Pr 3.14-3.32, 2 Ca 3.30-3.47, 1 Dy 3.42
Dy 0.9301 0.3584 0.5824  2 Pr 3.14-3.32, 2 Ca 3.30-3.47, 1 Dy 3.42

Computed properties:
* symmetry: Ia-3d, No. 230
* ΔE_f: 1.043 eV/atom
* total moment: 0.00 μB per formula unit
* calculated volume: 846.8 Å³/f.u.